Record 1
{
  "formula": "Tm12Tl6O",
  "functional": "PBE-GGA",
  "state": "relaxed",
  "dos_at_fermi_per_ev_cell": 13.3,
  "e_form_raw_mev_per_atom": -412.3,
  "e_tot_ev_per_atom": -4.24,
  "volume_a3_per_atom": 27.64,
  "cell": [[-7.8769, -0.7985, 1.6778], [-0.7419, -2.4960, -7.6628], [1.9845, -7.3122, 2.8447]],
  "species": ["Tm", "Tm", "Tm", "Tm", "Tm", "Tm", "Tm", "Tm", "Tm", "Tm", "Tm", "Tm", "Tl", "Tl", "Tl", "Tl", "Tl", "Tl", "O"],
  "fractional_positions": [[0.7998, 0.5834, 0.4680], [0.4680, 0.7998, 0.5834], [0.5834, 0.4680, 0.7998], [0.2002, 0.4166, 0.5320], [0.5320, 0.2002, 0.4166], [0.4166, 0.5320, 0.2002], [0.9640, 0.0770, 0.2903], [0.9230, 0.7097, 0.0360], [0.7097, 0.0360, 0.9230], [0.0360, 0.9230, 0.7097], [0.0770, 0.2903, 0.9640], [0.2903, 0.9640, 0.0770], [0.6355, 0.8571, 0.2431], [0.7569, 0.3645, 0.1429], [0.1429, 0.7569, 0.3645], [0.3645, 0.1429, 0.7569], [0.2431, 0.6355, 0.8571], [0.8571, 0.2431, 0.6355], [0.0000, 0.0000, 0.0000]]
}

=====

Record 2
{
  "formula": "LuHfReIr",
  "functional": "PBE-GGA",
  "state": "relaxed",
  "dos_at_fermi_per_ev_cell": 1.9,
  "formation_energy_ev_per_atom": -0.520,
  "e_tot_ev_per_atom": -9.47,
  "volume_a3_per_atom": 18.04,
  "cell": [[4.6728, 0.0000, 0.0000], [2.3364, 4.0468, 0.0000], [2.3364, 1.3489, 3.8153]],
  "species": ["Re", "Ir", "Hf", "Lu"],
  "fractional_positions": [[0.5000, 0.5000, 0.5000], [0.0000, 0.0000, 0.0000], [0.2500, 0.2500, 0.2500], [0.7500, 0.7500, 0.7500]]
}

=====

Record 3
{
  "formula": "Te2AsPb",
  "functional": "PBE-GGA",
  "state": "relaxed",
  "dos_at_fermi_per_ev_cell": 2.9,
  "e_form_raw_mev_per_atom": -7.1,
  "e_tot_ev_per_atom": -3.67,
  "e_above_lowest_polymorph_mev_per_atom": 67,
  "volume_a3_per_atom": 30.49,
  "cell": [[4.2024, 0.0000, 0.0000], [0.0000, 5.5897, -0.0416], [0.0000, 1.9158, 5.1784]],
  "species": ["Pb", "As", "Te", "Te"],
  "fractional_positions": [[0.5000, 0.7500, 0.7500], [0.5000, 0.2500, 0.2500], [0.0000, 0.0236, 0.0221], [0.0000, 0.4764, 0.4779]]
}